Entry 1:
A plane-wave DFT calculation with PBE-GGA was carried out for SmFe2Si2C after structural relaxation.

```
SmFe2Si2C
1.0
-3.149 2.198 0.766
-0.184 -1.520 3.604
3.095 3.818 1.768
Si Sm Fe C
2 1 2 1
Cartesian
-0.840 1.358 2.657
0.603 3.139 3.482
1.548 1.909 0.884
-1.575 1.099 0.383
-0.092 -0.760 1.802
0.000 0.000 0.000
```

The calculated volume is 13.4 Å³ per atom. As for the space-group type: P4/mmm, No. 123. The calculation puts the formation energy from raw total energies at -38.4 kJ/mol of atoms.

Entry 2:
A plane-wave DFT calculation with PBE-GGA was carried out for TlNi3Se after structural relaxation.

```
TlNi3Se
1.0
4.753 0.000 0.000
0.000 4.753 0.000
0.000 0.000 4.753
Ni Se Tl
3 1 1
Cartesian
0.000 0.000 2.377
0.000 2.377 0.000
2.377 0.000 0.000
2.377 2.377 2.377
0.000 0.000 0.000
```

The calculated volume is 21.5 Å³ per atom. As for the space-group type: Pm-3m, No. 221. The calculation puts the energy above the lowest structure with this stoichiometry at 998 meV per atom. The calculation puts the formation energy from raw total energies at 125.2 kJ/mol of atoms.

Entry 3:
A plane-wave DFT calculation with PBE-GGA was carried out for KNiCl after structural relaxation.

```
KNiCl
1.0
-1.660 -3.432 -2.616
3.087 -2.903 1.850
-5.821 -2.089 6.433
Ni Cl K
2 2 2
Cartesian
-1.107 -2.403 3.855
-4.000 -2.854 2.196
-2.910 -1.044 3.217
-2.197 -4.212 2.834
-1.975 -2.127 -0.042
-3.132 -3.129 6.092
```

The calculated volume is 31.8 Å³ per atom. As for the space-group type: P4/nmm, No. 129. The calculation puts the energy above the lowest structure with this stoichiometry at 518 meV per atom. The calculation puts the formation energy from raw total energies at -9.4 kJ/mol of atoms.

Entry 4:
A plane-wave DFT calculation with PBE-GGA was carried out for AcMg2H6 after structural relaxation.

```
AcMg2H6
1.0
-3.846 3.148 2.679
1.174 2.180 5.074
0.802 5.559 0.567
Mg Ac H
2 1 6
Cartesian
-0.467 2.722 2.080
-1.402 8.165 6.240
0.000 0.000 0.000
-0.062 4.092 4.538
-1.808 6.795 3.781
0.270 6.394 4.773
-1.654 5.395 5.647
-0.216 5.491 2.672
-2.140 4.493 3.547
```

The calculated volume is 14.1 Å³ per atom. The calculation puts the uncorrected energy at -2.45 eV/atom. As for the space-group type: Fm-3m, No. 225.

Entry 5:
A plane-wave DFT calculation with PBE-GGA was carried out for SmBiP after structural relaxation.

```
SmBiP
1.0
4.767 0.000 0.000
2.384 4.129 0.000
2.384 1.376 9.909
Sm Bi P
2 2 2
Cartesian
4.767 2.752 1.421
4.767 2.752 8.487
7.151 4.129 4.160
2.384 1.376 5.749
2.384 1.376 1.375
7.151 4.129 8.534
```

The calculated volume is 32.5 Å³ per atom. The formation energy comes out at -0.631 eV/atom. As for the space-group type: R-3m, No. 166.

Entry 6:
A plane-wave DFT calculation with PBE-GGA was carried out for ZnCu14Sn after structural relaxation.

```
ZnCu14Sn
1.0
-1.036 -4.505 2.270
2.152 -0.410 -4.660
7.690 0.020 3.549
Cu Zn Sn
14 1 1
Cartesian
5.750 -1.789 2.932
6.278 -4.114 1.801
0.487 -1.021 -1.050
5.204 -3.984 4.112
1.736 -1.799 1.080
2.264 -4.124 -0.051
4.702 -0.395 -0.080
-0.063 -3.255 0.155
5.289 -2.979 -1.337
6.761 -1.901 0.556
1.202 -3.994 2.265
1.564 -1.165 -3.383
2.889 -1.911 -1.231
1.024 -3.386 -2.200
4.215 -2.689 0.988
5.767 -0.696 -2.386
```

The calculated volume is 12.8 Å³ per atom. The formation energy comes out at 0.032 eV/atom. As for the space-group type: Amm2, No. 38.

Entry 7:
A plane-wave DFT calculation with PBE-GGA was carried out for AcLaGd2 after structural relaxation.

```
AcLaGd2
1.0
-3.328 -1.131 -1.302
-0.518 -3.587 -0.955
-4.820 -4.042 10.436
Gd Ac La
2 1 1
Cartesian
-2.150 -2.179 1.995
-6.515 -6.581 6.184
-4.332 -4.380 4.089
0.000 0.000 0.000
```

The calculated volume is 36.5 Å³ per atom. The formation energy comes out at 0.038 eV/atom. As for the space-group type: R-3m, No. 166. The calculation puts the energy above the lowest structure with this stoichiometry at 8 meV per atom.

Entry 8:
A plane-wave DFT calculation with PBE-GGA was carried out for LaNiOs2 after structural relaxation.

```
LaNiOs2
1.0
-0.433 -3.420 -3.382
0.587 -4.075 2.524
-3.047 3.629 0.929
Os La Ni
2 1 1
Cartesian
-1.192 -2.097 1.512
0.000 0.000 0.000
0.077 -3.747 -0.429
-1.701 -1.769 -1.441
```

The calculated volume is 17.1 Å³ per atom. The formation energy comes out at 0.535 eV/atom. As for the space-group type: I-4m2, No. 119. The calculation puts the energy above the lowest structure with this stoichiometry at 615 meV per atom.

Entry 9:
A plane-wave DFT calculation with PBE-GGA was carried out for Ce7BiPb4 after structural relaxation.

```
Ce7BiPb4
1.0
6.221 0.000 0.000
3.111 8.460 0.757
3.111 0.767 7.518
Ce Pb Bi
7 4 1
Cartesian
9.332 3.420 5.611
3.111 0.000 0.000
9.332 8.180 3.986
3.111 5.807 2.664
6.221 3.632 1.822
3.111 1.047 4.289
6.221 5.596 6.453
6.221 2.563 4.851
6.221 6.665 3.424
3.111 2.802 1.543
9.332 6.425 6.732
0.000 0.000 0.000
```

The calculated volume is 32.7 Å³ per atom. The formation energy comes out at -0.274 eV/atom. As for the space-group type: C2/m, No. 12.

Entry 10:
A plane-wave DFT calculation with PBE-GGA was carried out for Cd2BiBrN after structural relaxation.

```
Cd2BiBrN
1.0
-1.430 2.100 3.526
5.426 -2.236 3.532
2.234 3.531 -1.197
Cd Br N Bi
2 1 1 1
Cartesian
-0.715 1.050 1.763
1.117 1.765 -0.599
2.713 -1.118 1.766
0.000 0.000 0.000
3.115 1.697 2.931
```

The calculated volume is 25.9 Å³ per atom. As for the space-group type: P4/mmm, No. 123. The calculation puts the formation energy from raw total energies at 46.2 kJ/mol of atoms.

Entry 11:
A plane-wave DFT calculation with PBE-GGA was carried out for Tb5Pm2SmTm after structural relaxation.

```
Tb5Pm2SmTm
1.0
8.697 0.000 0.000
0.000 8.697 0.000
-4.349 -4.349 7.810
Tb Pm Sm Tm
10 4 2 2
Cartesian
6.863 2.515 2.168
-2.515 1.834 5.642
-1.834 -2.515 5.642
2.515 -1.834 5.642
1.834 2.515 5.642
4.349 4.349 0.000
6.182 6.863 2.168
1.834 6.182 2.168
2.515 1.834 2.168
0.000 0.000 0.000
5.368 1.019 0.000
3.329 7.678 0.000
7.678 5.368 0.000
1.019 3.329 0.000
4.349 4.349 3.905
0.000 0.000 3.905
0.000 4.349 3.905
4.349 0.000 3.905
```

The calculated volume is 32.8 Å³ per atom. The formation energy comes out at 0.277 eV/atom. As for the space-group type: I4/mcm, No. 140.

Entry 12:
A plane-wave DFT calculation with PBE-GGA was carried out for ScAlNi2 after structural relaxation.

```
ScAlNi2
1.0
1.712 -5.101 0.000
1.712 5.101 0.000
0.000 0.000 6.684
Sc Ni Al
2 4 2
Cartesian
1.712 -0.421 5.013
1.712 0.421 1.671
1.712 -3.786 6.346
1.712 -3.786 3.680
1.712 3.786 0.338
1.712 3.786 3.004
1.712 -2.386 1.671
1.712 2.386 5.013
```

The calculated volume is 14.6 Å³ per atom. The formation energy comes out at -0.523 eV/atom. As for the space-group type: Cmcm, No. 63.